Pu2Si3IrPt4 after structural relaxation, computed with PBE-GGA.

The space group is P-4m2 (No. 115) and the conventional cell measures 3.9812, 3.9812 and 11.2137 Å, with angles of 90.00, 90.00 and 90.00 degrees. The inequivalent atoms are Pu at (0.0000, 0.5000, 0.2414), Si at (0.0000, 0.0000, 0.0000), Si at (0.0000, 0.5000, 0.6288), Ir at (0.5000, 0.5000, 0.0000), Pt at (0.0000, 0.0000, 0.5000), Pt at (0.0000, 0.5000, 0.8365) and Pt at (0.5000, 0.5000, 0.5000).

The density of states at the Fermi level is 21.5 states/eV/cell. As for the uncorrected formation energy: -7.21 eV/f.u. The calculated volume comes out at 178 Å³/cell. The uncorrected energy is -0.626 Ry/atom.

RhS2N after structural relaxation, computed with PBE-GGA.

The space group is I-42d (No. 122) and the conventional cell measures 4.9355, 4.9355 and 10.3175 Å, with angles of 90.00, 90.00 and 90.00 degrees. The inequivalent atoms are Rh at (0.0000, 0.0000, 0.0000), S at (0.2145, 0.2500, 0.6250) and N at (0.0000, 0.0000, 0.5000).

The density of states at the Fermi level is 2.1 states/eV/cell. As for the uncorrected formation energy: 3.11 eV/f.u. The calculated volume comes out at 251 Å³/cell. The uncorrected energy is -0.383 Ry/atom.

TaFeMo2 after structural relaxation, computed with PBE-GGA.

The space group is I-42d (No. 122) and the conventional cell measures 7.1571, 7.1571 and 5.0387 Å, with angles of 90.00, 90.00 and 90.00 degrees. The inequivalent atoms are Ta at (0.0000, 0.0000, 0.0000), Fe at (0.0000, 0.0000, 0.5000) and Mo at (0.2118, 0.2500, 0.6250).

The density of states at the Fermi level is 12.7 states/eV/cell. For the formation energy, the calculation gives 2.34 eV/f.u. The calculated volume comes out at 258 Å³/cell. The uncorrected energy is -0.728 Ry/atom. For the excess energy over the best structure of this formula in the dataset, the calculation gives 2.46 eV/f.u.

TlWN3 after structural relaxation, computed with PBE-GGA.

The space group is Pm-3m (No. 221) and the conventional cell measures 4.0858, 4.0858 and 4.0858 Å, with angles of 90.00, 90.00 and 90.00 degrees. The inequivalent atoms are Tl at (0.0000, 0.0000, 0.0000), W at (0.5000, 0.5000, 0.5000) and N at (0.0000, 0.0000, 0.5000).

The density of states at the Fermi level is 7.3 states/eV/cell. As for the uncorrected formation energy: 15.12 eV/f.u. The calculated volume comes out at 68 Å³/cell. The uncorrected energy is -0.370 Ry/atom.

TaAs2POs after structural relaxation, computed with PBE-GGA.

The space group is P4/mmm (No. 123) and the conventional cell measures 4.5370, 4.5370 and 4.6041 Å, with angles of 90.00, 90.00 and 90.00 degrees. The inequivalent atoms are Ta at (0.0000, 0.0000, 0.0000), As at (0.0000, 0.5000, 0.5000), P at (0.0000, 0.0000, 0.5000) and Os at (0.5000, 0.5000, 0.0000).

The density of states at the Fermi level is 5.4 states/eV/cell. For the formation energy, the calculation gives 6.64 eV/f.u. The calculated volume comes out at 95 Å³/cell. The uncorrected energy is -0.458 Ry/atom.

Ba2CePmSe4 after structural relaxation, computed with PBE-GGA.

The space group is P2/m (No. 10) and the conventional cell measures 7.6014, 4.3928 and 7.8531 Å, with angles of 90.00, 108.83 and 90.00 degrees. The inequivalent atoms are Ba at (0.0000, 0.0000, 0.0000), Ba at (0.5000, 0.5000, 0.0000), Ce at (0.0000, 0.5000, 0.5000), Pm at (0.5000, 0.0000, 0.5000), Se at (0.2420, 0.0000, 0.7213) and Se at (0.2609, 0.5000, 0.2796).

The density of states at the Fermi level is 9.4 states/eV/cell. As for the uncorrected formation energy: -15.12 eV/f.u. The calculated volume comes out at 248 Å³/cell. The uncorrected energy is -0.400 Ry/atom.

LiTiGa6 after structural relaxation, computed with PBE-GGA.

The space group is C2/m (No. 12) and the conventional cell measures 7.2622, 5.4703 and 7.5009 Å, with angles of 90.00, 103.38 and 90.00 degrees. The inequivalent atoms are Li at (0.0000, 0.0000, 0.0000), Ti at (0.0000, 0.5000, 0.5000), Ga at (0.1130, 0.0000, 0.3954) and Ga at (0.1976, 0.2430, 0.8110).

The density of states at the Fermi level is 7.7 states/eV/cell. For the formation energy, the calculation gives -0.10 eV/f.u. The calculated volume comes out at 290 Å³/cell. The uncorrected energy is -0.258 Ry/atom. For the excess energy over the best structure of this formula in the dataset, the calculation gives 2.00 eV/f.u.

Zn2Ir after structural relaxation, computed with PBE-GGA.

The space group is I4_1/amd (No. 141, origin choice 2) and the conventional cell measures 3.8236, 3.8236 and 23.3534 Å, with angles of 90.00, 90.00 and 90.00 degrees. The inequivalent atoms are Zn at (0.0000, 0.2500, 0.1243), Zn at (0.0000, 0.2500, 0.2869) and Ir at (0.0000, 0.2500, 0.7984).

The density of states at the Fermi level is 9.8 states/eV/cell. For the formation energy, the calculation gives -0.52 eV/f.u. The calculated volume comes out at 341 Å³/cell. The uncorrected energy is -0.292 Ry/atom.

- calculated volume of number 4 (TlWN3)?
  68 Å³/cell

- What is the formula in the fourth record?
  TlWN3